(1)
4
Lattice="3.148 0.000 0.000 0.000 4.099 0.000 0.000 0.000 5.858" Properties=species:S:1:pos:R:3 comment="SCAN CdInAg2, PBEsol geometry" spacegroup="No. 25" e_tot_ev_per_cell=-126.52 n_ef_per_ev_fu=1.2 vol_a3_per_atom=18.90 delta_e_f_kcal_per_mol_atoms=0.1 pbc="T T T"
Cd 0.000 0.000 0.000
In 1.574 2.049 1.675
Ag 0.000 0.000 3.058
Ag 1.574 2.049 4.520


(2)
5
Lattice="4.847 0.000 0.000 0.000 4.847 0.000 0.000 0.000 4.335" Properties=species:S:1:pos:R:3 comment="SCAN CrFeSb2Ru, PBEsol geometry" spacegroup="No. 123" e_form_raw_ev_per_atom=1.156 e_tot_ev_per_cell=-140.08 n_ef_per_ev_fu=3.8 vol_a3_per_atom=20.37 pbc="T T T"
Cr 0.000 0.000 0.000
Fe 2.423 2.423 2.168
Sb 0.000 2.423 0.000
Sb 2.423 0.000 0.000
Ru 0.000 0.000 2.168


(3)
5
Lattice="5.544 0.000 0.000 0.000 5.544 0.000 0.000 0.000 5.181" Properties=species:S:1:pos:R:3 comment="SCAN SrGeSbTe2, PBEsol geometry" spacegroup="No. 123" e_form_raw_ev_per_atom=-0.283 e_tot_ev_per_cell=-154.54 n_ef_per_ev_fu=4.3 vol_a3_per_atom=31.84 pbc="T T T"
Sr 0.000 0.000 0.000
Ge 2.772 2.772 2.590
Sb 2.772 2.772 0.000
Te 0.000 2.772 2.590
Te 2.772 0.000 2.590


(4)
4
Lattice="4.206 -1.699 0.000 4.206 1.699 0.000 -1.272 0.000 5.886" Properties=species:S:1:pos:R:3 comment="SCAN Zn2HgPb, PBEsol geometry" polymorph_energy_mev_per_atom=0 spacegroup="No. 8" e_tot_ev_per_cell=-170.43 n_ef_per_ev_fu=1.4 vol_a3_per_atom=21.04 delta_e_f_kcal_per_mol_atoms=3.1 pbc="T T T"
Zn 0.000 0.000 0.000
Zn 5.951 0.000 0.909
Hg 1.168 0.000 4.563
Pb 3.542 0.000 2.615


(5)
8
Lattice="-2.344 2.344 3.186 2.344 -2.344 3.186 2.344 2.344 -3.186" Properties=species:S:1:pos:R:3 comment="SCAN BH2Au, PBEsol geometry" spacegroup="No. 141" e_tot_ev_per_cell=-160.03 n_ef_per_ev_fu=0.7 vol_a3_per_atom=8.75 pbc="T T T"
B 2.344 1.172 0.797
B 0.000 1.172 2.390
H 2.344 0.000 0.000
H -1.172 1.172 1.593
H 0.000 0.000 3.186
H 1.172 1.172 1.593
Au 2.344 -1.172 2.390
Au 0.000 3.516 0.797


(6)
20
Lattice="5.347 0.000 0.000 0.000 5.465 0.000 -5.329 0.000 7.617" Properties=species:S:1:pos:R:3 comment="SCAN Ca2TiRuO6, PBEsol geometry" spacegroup="No. 14" e_form_raw_ev_per_atom=-2.775 e_tot_ev_per_cell=-270.64 n_ef_per_ev_fu=2.1 vol_a3_per_atom=11.13 pbc="T T T"
Ca -0.054 0.266 1.901
Ca -2.719 2.466 5.710
Ca 2.737 2.998 1.907
Ca 0.072 5.199 5.716
Ti 2.674 0.000 0.000
Ti 0.009 2.732 3.809
Ru -2.665 0.000 3.809
Ru 0.000 2.732 0.000
O -4.226 1.128 7.299
O -1.562 1.604 3.491
O -3.750 3.875 7.294
O -1.085 4.321 3.485
O -2.229 0.106 5.722
O 0.435 2.626 1.914
O -0.417 2.838 5.703
O 2.247 5.359 1.895
O 1.103 1.143 4.132
O 3.768 1.589 0.323
O 1.580 3.860 4.126
O 4.244 4.337 0.318